First-principles (GGA-PBE) data for an optimized crystal structure of SrIn2Au, as listed in the Alexandria database.

Calculated values
Calculated volume (Å³/cell): 115.2
Electronic total energy (eV/atom): -3.06
Formation energy from the elements (eV per atom): -0.45

Structure (POSCAR):
```
SrIn2Au
1.0
4.785 0.000 -0.007
2.391 4.145 -0.007
2.384 1.377 5.802
Sr Au In
1 1 2
direct
0.506 0.506 0.481 Sr
0.317 0.317 0.050 Au
0.957 0.957 0.129 In
0.719 0.719 0.841 In
```